An optimized crystal structure of UHg3Te2F6. Source: Alexandria via LeMat-Bulk, functional PBE. Values from VASP.

Summary:
Space group ... No. 12
Formation energy (no corrections) ... -2.028 eV/atom

```
&SYSTEM
  ibrav = 0, nat = 12, ntyp = 4
/
ATOMIC_SPECIES
U 238.03 U.upf
Hg 200.59 Hg.upf
Te 127.60 Te.upf
F 19.00 F.upf
CELL_PARAMETERS angstrom
7.979 -3.868 0.000
7.979 3.868 0.000
-1.233 0.000 5.049
ATOMIC_POSITIONS crystal
U 0.000 0.000 0.000
Hg 0.000 0.500 0.000
Hg 0.500 0.000 0.000
Hg 0.500 0.500 0.500
Te 0.310 0.310 0.365
Te 0.690 0.690 0.635
F 0.089 0.089 0.760
F 0.121 0.729 0.778
F 0.271 0.879 0.222
F 0.729 0.121 0.778
F 0.879 0.271 0.222
F 0.911 0.911 0.240
```